The following is a GGA-PBE calculation of an optimized crystal structure of Th4FePb, from Alexandria.

Calculated values
Theoretical density (g/cm3): 11.7
SG: C2/c (15)
Calculated formation energy (eV per formula unit): -0.5
V (Å³ per atom): 28.158

POSCAR file:
```
Th4FePb
1.0
6.065 -0.654 0.000
-2.311 8.879 0.000
-1.877 -4.112 6.456
Pb Fe Th
2 2 8
Cartesian
1.516 -0.164 4.960
0.361 4.276 1.497
0.361 4.276 6.432
1.516 -0.164 0.024
2.951 -1.278 2.134
0.081 0.951 2.134
3.316 2.099 1.254
-1.593 -1.686 5.202
-1.439 2.013 5.202
1.796 3.161 4.322
-1.074 5.390 4.322
3.470 5.798 1.254
```



The following is a GGA-PBE calculation of an optimized crystal structure of Th2FePb, from Alexandria.

Calculated values
Theoretical density (g/cm3): 9.8
SG: P-1 (2)
Calculated formation energy (eV per formula unit): -0.2
V (Å³ per atom): 30.729

POSCAR file:
```
Th2FePb
1.0
0.019 0.075 3.880
-3.079 -6.934 -1.801
7.140 -4.574 1.971
Th Pb Fe
4 2 2
Cartesian
-1.122 -2.861 1.083
2.707 -6.201 3.055
4.318 -3.286 4.941
-2.589 -6.877 1.167
1.598 -3.072 3.011
3.617 -8.864 1.156
4.525 -6.214 1.104
5.794 -4.583 3.012
```



The following is a GGA-PBE calculation of an optimized crystal structure of Th2FePb, from Alexandria.

Calculated values
Theoretical density (g/cm3): 10.7
SG: R-3m (166)
Calculated formation energy (eV per formula unit): -0.5
V (Å³ per atom): 28.297

POSCAR file:
```
Th2FePb
1.0
3.894 0.000 0.000
1.947 3.373 0.000
1.947 1.124 8.618
Th Fe Pb
2 1 1
Cartesian
5.841 3.373 7.109
1.947 1.124 1.509
0.000 0.000 0.000
3.894 2.248 4.309
```